Compound: LaBe3Pt
Source: Alexandria via LeMat-Bulk
Functional: PBE
Structure: relaxed

Cell: 6.068 6.068 7.715 Å, 94.70 94.70 36.48°
Atoms (fractional coordinates):
La 0.067 0.067 0.241
La 0.933 0.933 0.759
Be 0.190 0.190 0.658
Be 0.231 0.231 0.936
Be 0.300 0.300 0.460
Be 0.700 0.700 0.540
Be 0.769 0.769 0.064
Be 0.810 0.810 0.342
Pt 0.357 0.357 0.182
Pt 0.643 0.643 0.818

## Properties
The spin magnetization is 0.000 μB per formula unit. Its excess energy over the best structure of this formula in the dataset is 57.6 kJ/mol of formula units. Its space-group type is No. 12. For the formation energy, the calculation gives -179 kJ/mol of formula units.

---

Compound: KBaSc2
Source: Alexandria via LeMat-Bulk
Functional: PBE
Structure: relaxed

Cell: 5.015 5.015 6.038 Å, 90.00 90.00 90.00°
Atoms (fractional coordinates):
K 0.000 0.000 0.000
Ba 0.500 0.500 0.000
Sc 0.000 0.500 0.500
Sc 0.500 0.000 0.500

## Properties
The spin magnetization is 1.440 μB per formula unit. Its excess energy over the best structure of this formula in the dataset is 126.7 kJ/mol of formula units. Its space-group type is No. 123. For the formation energy, the calculation gives 258 kJ/mol of formula units.

---

Compound: CaIn2GaI5
Source: Alexandria via LeMat-Bulk
Functional: PBE
Structure: relaxed

Cell: 10.375 10.375 17.088 Å, 90.00 90.00 154.29°
Atoms (fractional coordinates):
Ca 0.238 0.762 0.500
Ca 0.762 0.238 0.000
In 0.080 0.920 0.115
In 0.127 0.873 0.736
In 0.873 0.127 0.236
In 0.920 0.080 0.615
Ga 0.446 0.554 0.917
Ga 0.554 0.446 0.417
I 0.084 0.916 0.539
I 0.251 0.749 0.129
I 0.289 0.711 0.878
I 0.390 0.610 0.472
I 0.491 0.509 0.236
I 0.509 0.491 0.736
I 0.610 0.390 0.972
I 0.711 0.289 0.378
I 0.749 0.251 0.629
I 0.916 0.084 0.039

## Properties
The spin magnetization is 0.000 μB per formula unit. Its space-group type is No. 36. For the calculated total energy, the calculation gives -2.820 eV/atom.

---

Q: Look up the spin magnetization of the first one.
A: 0.000 μB per formula unit